(1)
Compound: PuScTlHg
Source: Alexandria
Functional: PBE-GGA
Structure: relaxed

N(E_F) in states/eV/f.u.: 8.39
Energy relative to the elements in kJ/mol of atoms: -20
M_tot in μB per cell: 6.265
ΔE to the lowest computed polymorph in kJ/mol of atoms: 0.00

POSCAR file:
```
PuScTlHg
1.0
-1.413 -1.802 -2.700
2.580 -2.410 0.259
-4.393 -4.157 5.073
Pu Sc Tl Hg
1 1 1 1
Direct
0.500 0.500 0.816
0.500 0.500 0.332
0.000 0.000 0.095
0.000 0.000 0.542
```

---

(2)
Compound: PuHg2Se
Source: Alexandria
Functional: PBE-GGA
Structure: relaxed

N(E_F) in states/eV/f.u.: 8.08
Formation energy (no corrections) in meV per atom: 251.1
M_tot in μB per cell: 5.961

POSCAR file:
```
PuHg2Se
1.0
3.266 0.000 0.000
1.633 2.829 0.000
1.633 0.943 11.326
Hg Se Pu
2 1 1
Direct
0.091 0.091 0.728
0.909 0.909 0.272
0.500 0.500 0.500
0.000 0.000 0.000
```

---

(3)
Compound: Pu3Hg5Se12
Source: Alexandria
Functional: PBE-GGA
Structure: relaxed

N(E_F) in states/eV/f.u.: 35.57
Formation energy (no corrections) in meV per atom: -490.6
M_tot in μB per cell: 50.425

POSCAR file:
```
Pu3Hg5Se12
1.0
14.277 0.000 0.000
-4.759 13.461 0.000
-4.759 -6.730 11.657
Pu Hg Se
12 20 48
Direct
0.750 0.375 0.125
0.875 0.750 0.125
0.375 0.750 0.625
0.250 0.125 0.375
0.875 0.125 0.250
0.375 0.625 0.250
0.625 0.375 0.750
0.125 0.875 0.750
0.750 0.875 0.625
0.625 0.250 0.375
0.125 0.250 0.875
0.250 0.625 0.875
0.125 0.375 0.250
0.000 0.500 0.000
0.000 0.000 0.000
0.375 0.250 0.125
0.500 0.000 0.500
0.500 0.500 0.000
0.125 0.750 0.375
0.750 0.125 0.875
0.750 0.625 0.375
0.375 0.125 0.750
0.625 0.875 0.250
0.500 0.500 0.500
0.500 0.000 0.000
0.000 0.000 0.500
0.250 0.375 0.625
0.250 0.875 0.125
0.000 0.500 0.500
0.875 0.250 0.625
0.625 0.750 0.875
0.875 0.625 0.750
0.726 0.140 0.056
0.329 0.556 0.416
0.944 0.360 0.274
0.556 0.226 0.140
0.587 0.726 0.671
0.944 0.584 0.171
0.329 0.774 0.413
0.084 0.913 0.140
0.584 0.944 0.671
0.726 0.587 0.171
0.774 0.444 0.360
0.829 0.916 0.056
0.140 0.726 0.556
0.360 0.416 0.087
0.087 0.916 0.360
0.413 0.140 0.584
0.087 0.171 0.226
0.444 0.671 0.084
0.829 0.913 0.274
0.140 0.413 0.084
0.360 0.944 0.774
0.584 0.640 0.413
0.916 0.829 0.556
0.774 0.329 0.913
0.416 0.360 0.587
0.084 0.171 0.444
0.226 0.671 0.087
0.171 0.087 0.726
0.640 0.056 0.226
0.860 0.587 0.916
0.556 0.329 0.916
0.587 0.860 0.416
0.913 0.829 0.774
0.913 0.084 0.640
0.860 0.274 0.444
0.171 0.084 0.944
0.640 0.584 0.913
0.416 0.056 0.329
0.274 0.413 0.829
0.226 0.556 0.640
0.916 0.087 0.860
0.671 0.226 0.587
0.444 0.774 0.860
0.056 0.416 0.829
0.413 0.274 0.329
0.056 0.640 0.726
0.671 0.444 0.584
0.274 0.860 0.944
```